DFT (PBE) results for crystalline BaMgTl2 at its relaxed geometry.

The space group is P2_1/m (No. 11) and the conventional cell measures 6.8762, 5.0847 and 8.1693 Å, with angles of 90.00, 113.63 and 90.00 degrees. Symmetry generates all atoms from Ba at (0.1884, 0.2500, 0.3882), Mg at (0.3484, 0.7500, 0.1056), Tl at (0.1532, 0.2500, 0.8846) and Tl at (0.3796, 0.7500, 0.7343).

Its crystal system is monoclinic. The uncorrected energy is -2.345 eV/atom. The spin magnetization is 0.0 μB per cell. For the energy of formation, the calculation gives -109 kJ/mol of formula units.